An optimized crystal structure of CrTeN2F. Source: Alexandria via LeMat-Bulk, functional PBE+U.

Output
theoretical density	6.055	g/cm3
energy	-5.623	eV/atom
space-group type	P4/mmm (123)
crystal system	tetragonal

Unit cell a=4.0566 b=4.0566 c=3.7764 alpha=90.00 beta=90.00 gamma=90.00
Element x y z (fractional)
Cr: 0.0000 0.0000 0.0000
Te: 0.5000 0.5000 0.5000
N: 0.0000 0.5000 0.0000
N: 0.5000 0.0000 0.0000
F: 0.0000 0.0000 0.5000